No. 1
ZrTeP3 | PBE | relaxed

a = 5.041 Å, b = 5.041 Å, c = 5.041 Å
α = 90.00°, β = 90.00°, γ = 90.00°
Space group Pm-3m (No. 221)
Symmetry-distinct sites (fractional):
Zr: 0.000 0.000 0.000 [1 per cell]
Te: 0.500 0.500 0.500 [1 per cell]
P: 0.000 0.000 0.500 [3 per cell]

Raw formation energy in meV/atom: 513
Distance to the lowest polymorph of the same formula in meV per atom: 0.0

---

No. 2
BaZrSb2 | PBE | relaxed

a = 12.241 Å, b = 3.323 Å, c = 5.864 Å
α = 90.00°, β = 90.05°, γ = 90.00°
Space group Cm (No. 8)
Symmetry-distinct sites (fractional):
Ba: 0.000 0.000 0.000 [2 per cell]
Zr: 0.247 0.500 0.500 [2 per cell]
Sb: 0.262 0.000 0.999 [2 per cell]
Sb: 0.479 0.000 0.500 [2 per cell]

Raw formation energy in meV/atom: -335
Distance to the lowest polymorph of the same formula in meV per atom: 459.3

---

No. 3
Pm3PrSm6Y2 | PBE | relaxed

a = 6.293 Å, b = 10.895 Å, c = 12.057 Å
α = 90.00°, β = 100.02°, γ = 90.00°
Space group C2/m (No. 12)
Symmetry-distinct sites (fractional):
Pm: 0.000 0.000 0.000 [2 per cell]
Pm: 0.000 0.333 0.000 [4 per cell]
Pr: 0.000 0.500 0.500 [2 per cell]
Sm: 0.250 0.000 0.749 [4 per cell]
Sm: 0.250 0.167 0.251 [8 per cell]
Y: 0.000 0.167 0.500 [4 per cell]

---

No. 4
Sn2Pb2O7 | PBE | relaxed

a = 10.741 Å, b = 10.741 Å, c = 10.741 Å
α = 90.00°, β = 90.00°, γ = 90.00°
Space group Fd-3m (No. 227, origin choice 2)
Symmetry-distinct sites (fractional):
Sn: 0.000 0.000 0.000 [16 per cell]
Pb: 0.000 0.000 0.500 [16 per cell]
O: 0.082 0.375 0.375 [48 per cell]
O: 0.125 0.125 0.625 [8 per cell]

Raw formation energy in meV/atom: -1290

---

No. 5
Li2TcC | PBE | relaxed

a = 6.703 Å, b = 6.703 Å, c = 4.059 Å
α = 90.00°, β = 90.00°, γ = 90.00°
Space group I-42d (No. 122)
Symmetry-distinct sites (fractional):
Li: 0.173 0.250 0.125 [8 per cell]
Tc: 0.000 0.000 0.500 [4 per cell]
C: 0.000 0.000 0.000 [4 per cell]

---

No. 6
SiHgSb2 | PBE | relaxed

a = 5.414 Å, b = 5.686 Å, c = 3.203 Å
α = 90.00°, β = 90.00°, γ = 90.00°
Space group Pmm2 (No. 25)
Symmetry-distinct sites (fractional):
Si: 0.000 0.000 0.000 [1 per cell]
Hg: 0.500 0.500 0.584 [1 per cell]
Sb: 0.000 0.500 0.125 [1 per cell]
Sb: 0.500 0.000 0.735 [1 per cell]

Raw formation energy in meV/atom: 288

---

No. 7
KMg2Be | PBE | relaxed

a = 6.436 Å, b = 10.612 Å, c = 3.043 Å
α = 90.00°, β = 90.00°, γ = 90.00°
Space group Cmmm (No. 65)
Symmetry-distinct sites (fractional):
K: 0.000 0.000 0.000 [2 per cell]
Mg: 0.250 0.250 0.500 [4 per cell]
Be: 0.000 0.500 0.000 [2 per cell]

---

No. 8
TbPrErCd | PBE | relaxed

a = 3.645 Å, b = 3.645 Å, c = 9.007 Å
α = 90.00°, β = 90.00°, γ = 90.00°
Space group P4mm (No. 99)
Symmetry-distinct sites (fractional):
Tb: 0.000 0.000 0.000 [1 per cell]
Pr: 0.500 0.500 0.283 [1 per cell]
Er: 0.000 0.000 0.562 [1 per cell]
Cd: 0.500 0.500 0.776 [1 per cell]

Distance to the lowest polymorph of the same formula in meV per atom: 0.0

---

| no. | total magnetic moment (μB/atom) | DOS at the Fermi energy (states/eV/f.u.) | energy (eV for the cell shown) |
| --- | --- | --- | --- |
| 1 | 0.00 | 4.55 | -25.35 |
| 2 | 0.01 | 3.39 | -40.11 |
| 3 | 0.00 | 16.85 | -120.23 |
| 4 | 0.00 | 3.18 | -514.53 |
| 5 | 0.00 | 2.09 | -84.27 |
| 6 | 0.00 | 1.01 | -12.82 |
| 7 | 0.00 | 1.95 | -9.94 |
| 8 | 0.00 | 4.08 | -15.49 |